First-principles (PBE) data for crystalline KScAsSe2 at its relaxed geometry, as listed in Alexandria.

**Magnetic moment**: 0.00 μB/cell
**Density**: 3.47 g/cm3
**Volume**: 151.73 Å³ per cell
**ΔE_f (raw)**: 0.762 eV/atom

a = 5.4264 Å, b = 5.4264 Å, c = 5.1528 Å
α = 90.00°, β = 90.00°, γ = 90.00°
With the nearest neighbours (Å) after each atom.
Element x y z (fractional)
Se  0.5000  0.0000  0.0000  2 K 2.71
K  0.0000  0.0000  0.0000  2 As 2.58, 4 Se 2.71
As  0.0000  0.0000  0.5000  2 K 2.58
Sc  0.5000  0.5000  0.5000  8 Se 3.74, 4 As 3.84
Se  0.0000  0.5000  0.0000  2 K 2.71